Compound: Cs8Au4Cl3
Source: Alexandria via LeMat-Bulk
Functional: PBE-GGA
Structure: optimized geometry

Properties
D(E_F) (states/eV per cell): 7.610
Energy relative to the elements, uncorrected (eV per formula unit): -14.1

Cell: 14.5333 14.5602 10.2399 Å, 90.00 134.76 90.00°
Space group C2/m (No. 12)
Symmetry-distinct sites (fractional):
Cs (0.0000, 0.2469, 0.0000) x4
Cs (0.0000, 0.2474, 0.5000) x4
Cs (0.2407, 0.0000, 0.4943) x4
Cs (0.2433, 0.0000, 0.9910) x4
Au (0.0000, 0.0000, 0.0000) x2
Au (0.0000, 0.5000, 0.5000) x2
Au (0.2500, 0.2500, 0.5000) x4
Cl (0.0000, 0.0000, 0.5000) x2
Cl (0.2500, 0.2500, 0.0000) x4